Material: DyLuMnRh
Method: DFT, GGA-PBE
State: relaxed

Summary:
- density of states at the Fermi level (states/eV/f.u.) = 4.6
- uncorrected energy (eV per atom) = -6.730
- M_tot (μB per atom) = 0.796

a b c (Å): 6.8750 6.8750 6.8750
angles (deg): 90.00 90.00 90.00
Space group F-43m (No. 216)
Symmetry-distinct sites (fractional):
Dy 0.0000 0.0000 0.0000 (multiplicity 4)
Lu 0.0000 0.0000 0.5000 (multiplicity 4)
Mn 0.2500 0.2500 0.2500 (multiplicity 4)
Rh 0.2500 0.2500 0.7500 (multiplicity 4)